Record 1
First-principles (PBE-GGA) data for a geometry-optimized BeVZn structure, as listed in Alexandria via LeMat-Bulk.

Geometry as POSCAR:
```
BeVZn
1.0
4.0010 0.0000 0.0000
2.0005 3.4650 0.0000
2.0005 1.1550 5.4475
Zn V Be
2 2 2
direct
0.2943 0.2943 0.1171 Zn
0.7057 0.7057 0.8829 Zn
0.1352 0.1352 0.5945 V
0.8648 0.8648 0.4055 V
0.4384 0.4384 0.6848 Be
0.5616 0.5616 0.3152 Be
```

Results
The calculation puts the distance to the lowest polymorph of the same formula at 3.32 kcal/mol of atoms. The energy of formation is 3.11 kcal/mol of atoms. The total magnetic moment comes out at 0.00 μB/f.u. Its space group is R-3m.



Record 2
First-principles (PBE-GGA) data for a geometry-optimized BeVZn3 structure, as listed in Alexandria via LeMat-Bulk.

Geometry as POSCAR:
```
BeVZn3
1.0
4.2125 0.0000 0.0000
0.0000 4.2125 0.0000
0.0000 0.0000 4.2125
Be Zn V
1 3 1
direct
0.0000 0.0000 0.0000 Be
0.0000 0.5000 0.0000 Zn
0.0000 0.0000 0.5000 Zn
0.5000 0.0000 0.0000 Zn
0.5000 0.5000 0.5000 V
```

Results
The calculation puts the distance to the lowest polymorph of the same formula at 0.00 kcal/mol of atoms. The energy of formation is 11.97 kcal/mol of atoms. The total magnetic moment comes out at 2.68 μB/f.u. Its space group is Pm-3m.



Record 3
First-principles (PBE-GGA) data for a geometry-optimized BeVZn structure, as listed in Alexandria via LeMat-Bulk.

Geometry as POSCAR:
```
BeVZn
1.0
2.6254 0.0000 0.0000
0.0000 2.6254 0.0000
-1.3127 -1.3127 5.1311
Be Zn V
1 1 1
direct
0.3358 0.3358 0.6716 Be
0.9855 0.9855 0.9710 Zn
0.6787 0.6787 0.3574 V
```

Results
The calculation puts the distance to the lowest polymorph of the same formula at 0.00 kcal/mol of atoms. The energy of formation is -0.20 kcal/mol of atoms. The total magnetic moment comes out at 0.00 μB/f.u. Its space group is I4mm.



Record 4
First-principles (PBE-GGA) data for a geometry-optimized BeVZn3 structure, as listed in Alexandria via LeMat-Bulk.

Geometry as POSCAR:
```
BeVZn3
1.0
-2.1125 0.5280 4.3655
-1.2937 -4.7034 -0.0572
4.2027 -1.1825 2.1768
Be Zn V
1 3 1
direct
0.5000 0.5000 0.5000 Be
0.0000 0.5000 0.0000 Zn
0.0000 0.0000 0.5000 Zn
0.5000 0.0000 0.0000 Zn
0.0000 0.0000 0.0000 V
```

Results
The calculation puts the distance to the lowest polymorph of the same formula at 18.20 kcal/mol of atoms. The energy of formation is 30.17 kcal/mol of atoms. The total magnetic moment comes out at 3.66 μB/f.u. Its space group is Pm-3m.



Record 5
First-principles (PBE-GGA) data for a geometry-optimized ZrBeV structure, as listed in Alexandria via LeMat-Bulk.

Geometry as POSCAR:
```
ZrBeV
1.0
3.1861 0.0000 0.0000
0.0000 3.1861 0.0000
-1.5930 -1.5930 4.4605
Be Zr V
1 1 1
direct
0.9758 0.9758 0.9515 Be
0.2849 0.2849 0.5699 Zr
0.5893 0.5893 0.1786 V
```

Results
The calculation puts the distance to the lowest polymorph of the same formula at 3.31 kcal/mol of atoms. The energy of formation is 2.81 kcal/mol of atoms. The total magnetic moment comes out at 0.00 μB/f.u. Its space group is I4mm.



Record 6
First-principles (PBE-GGA) data for a geometry-optimized ZrBe2V structure, as listed in Alexandria via LeMat-Bulk.

Geometry as POSCAR:
```
ZrBe2V
1.0
3.9234 0.0000 0.0000
0.0000 3.9234 0.0000
1.9617 1.9617 8.1196
Be Zr V
4 2 2
direct
0.4375 0.1250 0.2500 Be
0.3125 0.6250 0.2500 Be
0.3750 0.5625 0.7500 Be
0.8750 0.6875 0.7500 Be
0.0000 0.0000 0.0000 Zr
0.7500 0.2500 0.5000 Zr
0.5000 0.5000 0.0000 V
0.2500 0.7500 0.5000 V
```

Results
The calculation puts the distance to the lowest polymorph of the same formula at 15.69 kcal/mol of atoms. The energy of formation is 15.38 kcal/mol of atoms. The total magnetic moment comes out at 0.72 μB/f.u. Its space group is I-42d.



Record 7
First-principles (PBE-GGA) data for a geometry-optimized Zr2BeV2 structure, as listed in Alexandria via LeMat-Bulk.

Geometry as POSCAR:
```
Zr2BeV2
1.0
-2.1701 -3.0215 -5.3423
3.6661 -5.1826 1.4419
-3.0079 -1.5447 2.0955
Be Zr V
2 4 4
direct
0.0000 0.0000 0.0000 Be
0.5000 0.5000 0.0000 Be
0.1764 0.6764 0.5000 Zr
0.6764 0.8236 0.5000 Zr
0.8236 0.3236 0.5000 Zr
0.3236 0.1764 0.5000 Zr
0.3703 0.8703 0.0000 V
0.8703 0.6297 0.0000 V
0.6297 0.1297 0.0000 V
0.1297 0.3703 0.0000 V
```

Results
The energy of formation is 4.33 kcal/mol of atoms. The total magnetic moment comes out at 0.00 μB/f.u. Its space group is P4/mbm.



Record 8
First-principles (PBE-GGA) data for a geometry-optimized ZrBeV structure, as listed in Alexandria via LeMat-Bulk.

Geometry as POSCAR:
```
ZrBeV
1.0
3.4935 0.0000 0.0000
0.0000 3.9640 0.0000
0.0000 -1.9820 3.4329
Be Zr V
1 1 1
direct
0.1667 0.0000 0.0000 Be
0.6666 0.3333 0.6667 Zr
0.1667 0.6667 0.3333 V
```

Results
The calculation puts the distance to the lowest polymorph of the same formula at 5.91 kcal/mol of atoms. The energy of formation is 5.41 kcal/mol of atoms. The total magnetic moment comes out at 1.07 μB/f.u. Its space group is P-6m2.



Record 9
First-principles (PBE-GGA) data for a geometry-optimized ZrBe2V structure, as listed in Alexandria via LeMat-Bulk.

Geometry as POSCAR:
```
ZrBe2V
1.0
-2.7993 1.2333 0.2966
-1.2445 -2.5314 -1.2199
-0.4478 -2.2480 5.1218
Be Zr V
2 1 1
direct
0.0000 0.0000 0.8038 Be
0.0000 0.0000 0.1962 Be
0.5000 0.5000 0.5000 Zr
0.5000 0.5000 0.0000 V
```

Results
The calculation puts the distance to the lowest polymorph of the same formula at 0.00 kcal/mol of atoms. The energy of formation is -0.32 kcal/mol of atoms. The total magnetic moment comes out at 0.00 μB/f.u. Its space group is P4/mmm.



Record 10
First-principles (PBE-GGA) data for a geometry-optimized ZrBe9V2 structure, as listed in Alexandria via LeMat-Bulk.

Geometry as POSCAR:
```
ZrBe9V2
1.0
4.4460 0.0000 0.0000
2.2230 3.8503 0.0000
2.2230 1.2834 6.9988
Zr Be V
1 9 2
direct
0.0000 0.0000 0.0000 Zr
0.6651 0.6651 0.0047 Be
0.3349 0.3349 0.9953 Be
0.5000 0.5000 0.5000 Be
0.4114 0.4114 0.2567 Be
0.9204 0.4114 0.2567 Be
0.4114 0.9204 0.2567 Be
0.5886 0.5886 0.7433 Be
0.5886 0.0796 0.7433 Be
0.0796 0.5886 0.7433 Be
0.8554 0.8554 0.4338 V
0.1446 0.1446 0.5662 V
```

Results
The calculation puts the distance to the lowest polymorph of the same formula at 0.00 kcal/mol of atoms. The energy of formation is -5.55 kcal/mol of atoms. The total magnetic moment comes out at 0.00 μB/f.u. Its space group is R-3m.



Record 11
First-principles (PBE-GGA) data for a geometry-optimized ZrBe5V structure, as listed in Alexandria via LeMat-Bulk.

Geometry as POSCAR:
```
ZrBe5V
1.0
4.5333 0.0000 0.0000
0.0000 7.3077 0.0000
0.0000 0.0000 9.2220
Zr Be V
4 20 4
direct
0.2500 0.2398 0.9377 Zr
0.7500 0.2602 0.4377 Zr
0.2500 0.7398 0.5623 Zr
0.7500 0.7602 0.0623 Zr
0.2500 0.5875 0.0155 Be
0.7500 0.9125 0.5155 Be
0.2500 0.0875 0.4845 Be
0.7500 0.4125 0.9845 Be
0.7500 0.3146 0.7535 Be
0.2500 0.1854 0.2535 Be
0.7500 0.8146 0.7465 Be
0.2500 0.6854 0.2465 Be
0.2500 0.9456 0.1209 Be
0.7500 0.5544 0.6209 Be
0.2500 0.4456 0.3791 Be
0.7500 0.0544 0.8791 Be
0.9934 0.4292 0.1818 Be
0.0066 0.0708 0.6818 Be
0.5066 0.9292 0.3182 Be
0.4934 0.5708 0.8182 Be
0.0066 0.5708 0.8182 Be
0.9934 0.9292 0.3182 Be
0.4934 0.0708 0.6818 Be
0.5066 0.4292 0.1818 Be
0.2500 0.8738 0.8646 V
0.7500 0.6262 0.3646 V
0.2500 0.3738 0.6354 V
0.7500 0.1262 0.1354 V
```

Results
The energy of formation is -3.39 kcal/mol of atoms. The total magnetic moment comes out at 0.00 μB/f.u. Its space group is Pnma.



Record 12
First-principles (PBE-GGA) data for a geometry-optimized ZrBe2V structure, as listed in Alexandria via LeMat-Bulk.

Geometry as POSCAR:
```
ZrBe2V
1.0
4.2362 0.0000 0.0000
2.1181 3.6686 0.0000
2.1181 1.2229 3.4588
Be Zr V
2 1 1
direct
0.2500 0.2500 0.2500 Be
0.7500 0.7500 0.7500 Be
0.0000 0.0000 0.0000 Zr
0.5000 0.5000 0.5000 V
```

Results
The calculation puts the distance to the lowest polymorph of the same formula at 1.26 kcal/mol of atoms. The energy of formation is 0.94 kcal/mol of atoms. The total magnetic moment comes out at 1.02 μB/f.u. Its space group is Fm-3m.



Record 13
First-principles (PBE-GGA) data for a geometry-optimized Zr3BeV structure, as listed in Alexandria via LeMat-Bulk.

Geometry as POSCAR:
```
Zr3BeV
1.0
-4.1479 1.9245 -1.5508
-2.0453 -0.9718 4.2645
1.3876 4.3204 1.6500
Be Zr V
1 3 1
direct
0.5000 0.5000 0.5000 Be
0.0000 0.5000 0.0000 Zr
0.0000 0.0000 0.5000 Zr
0.5000 0.0000 0.0000 Zr
0.0000 0.0000 0.0000 V
```

Results
The calculation puts the distance to the lowest polymorph of the same formula at 7.94 kcal/mol of atoms. The energy of formation is 21.24 kcal/mol of atoms. The total magnetic moment comes out at 0.00 μB/f.u. Its space group is Pm-3m.



Record 14
First-principles (PBE-GGA) data for a geometry-optimized ZrBeV structure, as listed in Alexandria via LeMat-Bulk.

Geometry as POSCAR:
```
ZrBeV
1.0
-2.8661 2.1577 -1.0513
-4.1735 -4.4822 2.1785
2.0841 4.7040 3.9729
Be Zr V
3 3 3
direct
0.5000 0.6667 0.3333 Be
0.5000 0.3333 0.6667 Be
0.0000 0.0000 0.0000 Be
0.0000 0.5809 0.5809 Zr
0.0000 0.0000 0.4191 Zr
0.0000 0.4191 0.0000 Zr
0.5000 0.0000 0.7728 V
0.5000 0.7728 0.0000 V
0.5000 0.2272 0.2272 V
```

Results
The calculation puts the distance to the lowest polymorph of the same formula at 0.41 kcal/mol of atoms. The energy of formation is -0.09 kcal/mol of atoms. The total magnetic moment comes out at 0.00 μB/f.u. Its space group is P-62m.



Record 15
First-principles (PBE-GGA) data for a geometry-optimized Zr2BeV structure, as listed in Alexandria via LeMat-Bulk.

Geometry as POSCAR:
```
Zr2BeV
1.0
-5.0397 -5.0273 -1.3115
4.7850 -3.7794 -3.9002
0.6307 -5.7451 -0.3756
Be Zr V
2 4 2
direct
0.5000 0.5000 0.0000 Be
0.2500 0.7500 0.5000 Be
0.6085 0.1250 0.2500 Zr
0.1415 0.6250 0.2500 Zr
0.3750 0.3915 0.7500 Zr
0.8750 0.8585 0.7500 Zr
0.0000 0.0000 0.0000 V
0.7500 0.2500 0.5000 V
```

Results
The energy of formation is 11.38 kcal/mol of atoms. The total magnetic moment comes out at 0.71 μB/f.u. Its space group is I-42d.



Record 16
First-principles (PBE-GGA) data for a geometry-optimized Zr3BeV structure, as listed in Alexandria via LeMat-Bulk.

Geometry as POSCAR:
```
Zr3BeV
1.0
-0.4913 -1.1799 4.5463
3.9085 -2.6376 -0.2621
2.6046 3.7354 1.2510
Be Zr V
1 3 1
direct
0.0000 0.0000 0.0000 Be
0.0000 0.5000 0.0000 Zr
0.0000 0.0000 0.5000 Zr
0.5000 0.0000 0.0000 Zr
0.5000 0.5000 0.5000 V
```

Results
The calculation puts the distance to the lowest polymorph of the same formula at 0.00 kcal/mol of atoms. The energy of formation is 13.30 kcal/mol of atoms. The total magnetic moment comes out at 3.40 μB/f.u. Its space group is Pm-3m.



Record 17
First-principles (PBE-GGA) data for a geometry-optimized ZrBeV2 structure, as listed in Alexandria via LeMat-Bulk.

Geometry as POSCAR:
```
ZrBeV2
1.0
-2.9634 -5.9796 2.1828
5.2029 -3.6625 -2.9697
2.4124 -4.6927 1.7131
Be Zr V
2 2 4
direct
0.5000 0.5000 0.0000 Be
0.2500 0.7500 0.5000 Be
0.0000 0.0000 0.0000 Zr
0.7500 0.2500 0.5000 Zr
0.5812 0.1250 0.2500 V
0.1688 0.6250 0.2500 V
0.3750 0.4188 0.7500 V
0.8750 0.8312 0.7500 V
```

Results
The energy of formation is 11.30 kcal/mol of atoms. The total magnetic moment comes out at 0.00 μB/f.u. Its space group is I-42d.



Record 18
First-principles (PBE-GGA) data for a geometry-optimized Zr2BeV structure, as listed in Alexandria via LeMat-Bulk.

Geometry as POSCAR:
```
Zr2BeV
1.0
2.8419 0.0000 0.0000
1.4209 2.4612 0.0000
1.4209 0.8204 10.5610
Be Zr V
1 2 1
direct
0.0000 0.0000 0.0000 Be
0.0852 0.0852 0.7444 Zr
0.9148 0.9148 0.2556 Zr
0.5000 0.5000 0.5000 V
```

Results
The energy of formation is 16.79 kcal/mol of atoms. The total magnetic moment comes out at 0.00 μB/f.u. Its space group is R-3m.



Record 19
First-principles (PBE-GGA) data for a geometry-optimized ZrBe3V structure, as listed in Alexandria via LeMat-Bulk.

Geometry as POSCAR:
```
ZrBe3V
1.0
-1.3731 3.4798 1.7590
-3.7213 -0.6130 -1.6923
-1.1637 -2.1456 3.3362
Be Zr V
3 1 1
direct
0.0000 0.5000 0.0000 Be
0.0000 0.0000 0.5000 Be
0.5000 0.0000 0.0000 Be
0.5000 0.5000 0.5000 Zr
0.0000 0.0000 0.0000 V
```

Results
The energy of formation is 15.52 kcal/mol of atoms. The total magnetic moment comes out at 1.21 μB/f.u. Its space group is Pm-3m.



Record 20
First-principles (PBE-GGA) data for a geometry-optimized ZrBe4V structure, as listed in Alexandria via LeMat-Bulk.

Geometry as POSCAR:
```
ZrBe4V
1.0
-2.2798 3.7262 -1.4856
-4.0262 -0.4841 -2.2010
-3.9248 1.2776 2.0622
Be Zr V
4 1 1
direct
0.6265 0.6265 0.1206 Be
0.6265 0.1206 0.6265 Be
0.6265 0.6265 0.6265 Be
0.1206 0.6265 0.6265 Be
0.2500 0.2500 0.2500 Zr
0.0000 0.0000 0.0000 V
```

Results
The energy of formation is -3.08 kcal/mol of atoms. The total magnetic moment comes out at 2.35 μB/f.u. Its space group is F-43m.